! Cs2PmV2O7 | Alexandria via LeMat-Bulk | PBE+U | optimized geometry; values from VASP
&SYSTEM
  ibrav = 0, nat = 12, ntyp = 4
/
ATOMIC_SPECIES
Cs 132.91 Cs.upf
Pm 145.00 Pm.upf
V 50.94 V.upf
O 16.00 O.upf
CELL_PARAMETERS angstrom
3.9343 -0.0024 0.0106
0.0024 3.9343 0.0106
1.9383 1.9359 12.0786
ATOMIC_POSITIONS crystal
Cs 0.8175 0.8175 0.3641
Cs 0.1825 0.1825 0.6359
Pm 0.0000 0.0000 0.0000
V 0.5816 0.5816 0.8371
V 0.4184 0.4184 0.1629
O 0.5000 0.5000 0.0000
O 0.3461 0.3461 0.3074
O 0.6539 0.6539 0.6926
O 0.9291 0.4291 0.1415
O 0.4291 0.9292 0.1415
O 0.5709 0.0708 0.8585
O 0.0709 0.5709 0.8585
! M_tot	0.083	μB/atom
! electronic total energy	-6.859	eV per atom